Material: Cr3NiP
Method: DFT, PBE
State: relaxed

M_tot = 9.50 μB/cell
excess energy over the best structure of this formula in the dataset = 464 meV/atom
energy of formation = 1180 meV per atom
theoretical density = 4.80 g/cm3

Cell: 4.3970 4.3970 4.3970 Å, 90.00 90.00 90.00°
Space group Pm-3m (No. 221)
Inequivalent atoms, fractional coordinates:
1 Cr 0.0000 0.0000 0.5000 [3 per cell]
2 Ni 0.0000 0.0000 0.0000 [1 per cell]
3 P 0.5000 0.5000 0.5000 [1 per cell]